# 1
La2ErMg3CdIn2 | PBE | relaxed

## Properties
space-group type	No. 38
magnetic moment	0.01	μB per formula unit
total DFT energy (no corrections)	-28.8	eV/cell

Lattice parameters (Å, degrees): 4.772 7.657 7.657 118.84 90.00 90.00
Fractional coordinates of all 9 atoms:
La: 0.000 0.211 0.789
La: 0.000 0.789 0.211
Er: 0.000 0.364 0.364
Mg: 0.500 0.023 0.023
Mg: 0.500 0.545 0.785
Mg: 0.500 0.785 0.545
Cd: 0.000 0.773 0.773
In: 0.500 0.129 0.450
In: 0.500 0.450 0.129

# 2
Pr3CdHg2PtAu2 | PBE | relaxed

## Properties
space-group type	No. 38
magnetic moment	0.00	μB per formula unit
ΔH_f (0 K)	-0.6880	eV/atom

Lattice parameters (Å, degrees): 4.087 7.929 7.929 120.30 90.00 90.00
Fractional coordinates of all 9 atoms:
Pr: 0.000 0.000 0.000
Pr: 0.000 0.381 0.780
Pr: 0.000 0.780 0.381
Cd: 0.500 0.639 0.639
Hg: 0.500 0.130 0.390
Hg: 0.500 0.390 0.130
Pt: 0.000 0.393 0.393
Au: 0.500 0.045 0.719
Au: 0.500 0.719 0.045

# 3
CsRbCuAs | PBE | relaxed

## Properties
space-group type	No. 38
energy above the most stable polymorph in this dataset	1	kJ/mol of formula units

Lattice parameters (Å, degrees): 6.452 6.725 6.725 110.45 90.00 90.00
Fractional coordinates of all 8 atoms:
Cs: 0.000 0.169 0.831
Cs: 0.000 0.831 0.169
Rb: 0.500 0.150 0.480
Rb: 0.500 0.480 0.150
Cu: 0.251 0.653 0.653
Cu: 0.749 0.653 0.653
As: 0.000 0.429 0.429
As: 0.500 0.877 0.877

# 4
CsBaTa | PBE | relaxed

## Properties
space-group type	No. 216
magnetic moment	5.89	μB per formula unit
energy above the most stable polymorph in this dataset	0	kJ/mol of formula units

Lattice parameters (Å, degrees): 6.132 6.132 6.132 60.00 60.00 60.00
Fractional coordinates of all 3 atoms:
Cs: 0.000 0.000 0.000
Ba: 0.500 0.500 0.500
Ta: 0.750 0.750 0.750

# 5
Nd2CdHgAs2O2 | PBE | relaxed

## Properties
space-group type	No. 115
magnetic moment	0.00	μB per formula unit
total DFT energy (no corrections)	-43.0	eV/cell

Lattice parameters (Å, degrees): 4.189 4.189 9.167 90.00 90.00 90.00
Fractional coordinates of all 8 atoms:
Nd: 0.000 0.500 0.122
Nd: 0.500 0.000 0.878
Cd: 0.500 0.500 0.500
Hg: 0.000 0.000 0.500
As: 0.000 0.500 0.703
As: 0.500 0.000 0.297
O: 0.000 0.000 0.000
O: 0.500 0.500 0.000

# 6
Lu4CuC2S | PBE | relaxed

## Properties
space-group type	No. 187
magnetic moment	0.02	μB per formula unit
total DFT energy (no corrections)	-50.6	eV/cell

Lattice parameters (Å, degrees): 3.584 3.584 12.886 90.00 90.00 120.00
Fractional coordinates of all 8 atoms:
Lu: 0.000 0.000 0.143
Lu: 0.000 0.000 0.857
Lu: 0.333 0.667 0.342
Lu: 0.333 0.667 0.658
Cu: 0.000 0.000 0.500
C: 0.667 0.333 0.244
C: 0.667 0.333 0.756
S: 0.333 0.667 0.000

# 7
KLuTeO | PBE | relaxed

## Properties
space-group type	No. 26
magnetic moment	0.00	μB per formula unit
energy above the most stable polymorph in this dataset	58	kJ/mol of formula units

Lattice parameters (Å, degrees): 4.642 8.370 6.715 90.00 90.00 90.00
Fractional coordinates of all 8 atoms:
K: 0.000 0.217 0.000
K: 0.000 0.783 0.500
Lu: 0.500 0.394 0.400
Lu: 0.500 0.606 0.900
Te: 0.000 0.201 0.507
Te: 0.000 0.799 0.007
O: 0.500 0.417 0.093
O: 0.500 0.583 0.593

# 8
Li8Tb4O11 | PBE | relaxed

## Properties
space-group type	No. 1
magnetic moment	0.32	μB per formula unit
energy above the most stable polymorph in this dataset	92	kJ/mol of formula units

Lattice parameters (Å, degrees): 5.213 5.558 9.663 84.43 79.90 77.62
Fractional coordinates of all 23 atoms:
Li: 0.000 0.000 0.000
Li: 0.023 0.788 0.521
Li: 0.379 0.561 0.719
Li: 0.409 0.332 0.034
Li: 0.556 0.062 0.548
Li: 0.609 0.602 0.472
Li: 0.757 0.052 0.244
Li: 0.890 0.541 0.135
Tb: 0.181 0.303 0.364
Tb: 0.345 0.795 0.202
Tb: 0.565 0.882 0.857
Tb: 0.945 0.305 0.703
O: 0.099 0.176 0.150
O: 0.139 0.935 0.799
O: 0.257 0.688 0.998
O: 0.284 0.437 0.558
O: 0.443 0.934 0.393
O: 0.545 0.402 0.215
O: 0.546 0.273 0.831
O: 0.695 0.880 0.065
O: 0.710 0.693 0.658
O: 0.880 0.161 0.521
O: 0.958 0.684 0.323

# 9
MgBeZnGe | PBE | relaxed

## Properties
space-group type	No. 216
energy above the most stable polymorph in this dataset	0	kJ/mol of formula units

Lattice parameters (Å, degrees): 4.479 4.479 4.479 60.00 60.00 60.00
Fractional coordinates of all 4 atoms:
Mg: 0.000 0.000 0.000
Be: 0.500 0.500 0.500
Zn: 0.750 0.750 0.750
Ge: 0.250 0.250 0.250

# 10
PrTcB4 | PBE | relaxed

## Properties
space-group type	No. 71
magnetic moment	0.00	μB per formula unit
energy above the most stable polymorph in this dataset	90	kJ/mol of formula units

Lattice parameters (Å, degrees): 4.920 4.920 4.920 142.19 112.35 80.20
Fractional coordinates of all 6 atoms:
Pr: 0.000 0.000 0.000
Tc: 0.500 0.500 0.000
B: 0.094 0.756 0.338
B: 0.417 0.756 0.662
B: 0.583 0.244 0.338
B: 0.906 0.244 0.662

# 11
LiLu2Bi | PBE | relaxed

## Properties
space-group type	No. 216
magnetic moment	0.14	μB per formula unit
total DFT energy (no corrections)	-15.0	eV/cell

Lattice parameters (Å, degrees): 5.300 5.300 5.300 60.00 60.00 60.00
Fractional coordinates of all 4 atoms:
Li: 0.000 0.000 0.000
Lu: 0.250 0.250 0.250
Lu: 0.500 0.500 0.500
Bi: 0.750 0.750 0.750

# 12
Zr2SnAu | PBE | relaxed

## Properties
space-group type	No. 216
magnetic moment	1.83	μB per formula unit
total DFT energy (no corrections)	-24.3	eV/cell

Lattice parameters (Å, degrees): 4.964 4.964 4.964 60.00 60.00 60.00
Fractional coordinates of all 4 atoms:
Zr: 0.000 0.000 0.000
Zr: 0.250 0.250 0.250
Sn: 0.500 0.500 0.500
Au: 0.750 0.750 0.750

# 13
LuTh | PBE | relaxed

## Properties
space-group type	No. 225
magnetic moment	0.05	μB per formula unit
energy above the most stable polymorph in this dataset	172	kJ/mol of formula units
ΔH_f (0 K)	0.9603	eV/atom

Lattice parameters (Å, degrees): 4.607 4.607 4.607 60.00 60.00 60.00
Fractional coordinates of all 2 atoms:
Lu: 0.000 0.000 0.000
Th: 0.500 0.500 0.500

# 14
Mg2Nb | PBE | relaxed

## Properties
space-group type	No. 70
magnetic moment	0.10	μB per formula unit
total DFT energy (no corrections)	-47.4	eV/cell

Lattice parameters (Å, degrees): 11.680 11.124 5.231 82.75 70.87 26.38
Fractional coordinates of all 12 atoms:
Mg: 0.056 0.056 0.194
Mg: 0.194 0.194 0.056
Mg: 0.209 0.541 0.209
Mg: 0.459 0.791 0.459
Mg: 0.541 0.209 0.541
Mg: 0.791 0.459 0.791
Mg: 0.806 0.806 0.944
Mg: 0.944 0.944 0.806
Nb: 0.248 0.248 0.502
Nb: 0.498 0.498 0.752
Nb: 0.502 0.502 0.248
Nb: 0.752 0.752 0.498

# 15
TaB4As | PBE | relaxed

## Properties
space-group type	No. 71
magnetic moment	0.00	μB per formula unit
energy above the most stable polymorph in this dataset	35	kJ/mol of formula units

Lattice parameters (Å, degrees): 4.725 4.725 4.725 142.76 110.26 81.81
Fractional coordinates of all 6 atoms:
Ta: 0.000 0.000 0.000
B: 0.087 0.752 0.335
B: 0.417 0.752 0.665
B: 0.583 0.248 0.335
B: 0.913 0.248 0.665
As: 0.500 0.500 0.000

# 16
HfBAu2 | PBE | relaxed

## Properties
space-group type	No. 216
magnetic moment	0.00	μB per formula unit
total DFT energy (no corrections)	-22.1	eV/cell

Lattice parameters (Å, degrees): 4.506 4.506 4.506 60.00 60.00 60.00
Fractional coordinates of all 4 atoms:
Hf: 0.000 0.000 0.000
B: 0.750 0.750 0.750
Au: 0.250 0.250 0.250
Au: 0.500 0.500 0.500

# 17
Li2Y2Ga2AgAu | PBE | relaxed

## Properties
space-group type	No. 115
magnetic moment	0.00	μB per formula unit
total DFT energy (no corrections)	-32.9	eV/cell

Lattice parameters (Å, degrees): 4.724 4.724 6.688 90.00 90.00 90.00
Fractional coordinates of all 8 atoms:
Li: 0.000 0.000 0.000
Li: 0.500 0.500 0.500
Y: 0.000 0.500 0.747
Y: 0.500 0.000 0.253
Ga: 0.000 0.500 0.247
Ga: 0.500 0.000 0.753
Ag: 0.500 0.500 0.000
Au: 0.000 0.000 0.500

# 18
Pr2Al | PBE | relaxed

## Properties
space-group type	No. 227
magnetic moment	0.00	μB per formula unit
total DFT energy (no corrections)	-24.3	eV/cell

Lattice parameters (Å, degrees): 6.400 6.400 6.400 60.00 60.00 60.00
Fractional coordinates of all 6 atoms:
Pr: 0.000 0.000 0.000
Pr: 0.000 0.000 0.500
Pr: 0.000 0.500 0.000
Pr: 0.500 0.000 0.000
Al: 0.375 0.375 0.375
Al: 0.625 0.625 0.625

# 19
La3Ni2B2S3 | PBE | relaxed

## Properties
space-group type	No. 139
magnetic moment	0.02	μB per formula unit
total DFT energy (no corrections)	-63.7	eV/cell

Lattice parameters (Å, degrees): 13.149 13.149 13.149 162.84 162.84 24.36
Fractional coordinates of all 10 atoms:
La: 0.000 0.000 0.000
La: 0.348 0.348 0.000
La: 0.652 0.652 0.000
Ni: 0.250 0.750 0.500
Ni: 0.750 0.250 0.500
B: 0.228 0.228 0.000
B: 0.772 0.772 0.000
S: 0.113 0.113 0.000
S: 0.500 0.500 0.000
S: 0.887 0.887 0.000

# 20
Tb2TmIn3Fe2Cu | PBE | relaxed

## Properties
space-group type	No. 38
magnetic moment	3.65	μB per formula unit
total DFT energy (no corrections)	-44.2	eV/cell

Lattice parameters (Å, degrees): 3.878 7.489 7.489 119.99 90.00 90.00
Fractional coordinates of all 9 atoms:
Tb: 0.000 0.206 0.794
Tb: 0.000 0.794 0.206
Tm: 0.000 0.383 0.383
In: 0.500 0.053 0.053
In: 0.500 0.536 0.793
In: 0.500 0.793 0.536
Fe: 0.500 0.128 0.460
Fe: 0.500 0.460 0.128
Cu: 0.000 0.793 0.793